Entry 1:
VASP calculation (GGA-PBE) on a relaxed Tb5Tm4Zr2 crystal.

The structure in POSCAR format:
```
Tb5Tm4Zr2
1.0
-2.641 -0.597 -2.117
-3.778 -4.788 6.063
-4.905 9.446 3.456
Tb Zr Tm
5 2 4
direct
0.000 0.187 0.165
0.000 0.500 0.000
0.000 0.813 0.835
0.000 0.424 0.700
0.000 0.576 0.300
0.000 0.054 0.631
0.000 0.946 0.369
0.500 0.267 0.447
0.500 0.839 0.121
0.500 0.161 0.879
0.500 0.733 0.553
```

Output
E_form   0.10 eV per atom
DOS(E_F)   17.5 states/eV/f.u.
Crystal system   monoclinic
Electronic total energy   -5.18 eV/atom

Entry 2:
VASP calculation (GGA-PBE) on a relaxed TbTm6Zr2 crystal.

The structure in POSCAR format:
```
TbTm6Zr2
1.0
-2.784 -2.057 0.720
0.339 -1.250 6.418
-6.977 8.314 5.457
Tb Tm Zr
1 6 2
direct
0.000 0.000 0.000
0.024 0.656 0.297
0.711 0.464 0.113
0.351 0.768 0.530
0.289 0.536 0.887
0.976 0.344 0.703
0.649 0.232 0.470
0.676 0.911 0.736
0.324 0.089 0.264
```

Output
E_form   0.11 eV per atom
Relative energy among the computed polymorphs   36 meV/atom
DOS(E_F)   12.2 states/eV/f.u.
Crystal system   monoclinic
Electronic total energy   -5.29 eV/atom

Entry 3:
VASP calculation (GGA-PBE) on a relaxed TbTm2Zr crystal.

The structure in POSCAR format:
```
TbTm2Zr
1.0
-2.496 -1.181 -2.012
0.736 -1.183 -3.120
0.858 -11.061 2.525
Tm Zr Tb
2 1 1
direct
0.755 0.755 0.735
0.245 0.245 0.265
0.500 0.500 0.500
0.000 0.000 0.000
```

Output
E_form   0.07 eV per atom
Relative energy among the computed polymorphs   15 meV/atom
DOS(E_F)   5.6 states/eV/f.u.
Crystal system   trigonal
Electronic total energy   -5.46 eV/atom

Entry 4:
VASP calculation (GGA-PBE) on a relaxed Tb6Tm12Zr crystal.

The structure in POSCAR format:
```
Tb6Tm12Zr
1.0
8.461 -0.149 -1.162
-1.312 8.360 -1.162
-0.130 -0.149 8.539
Tb Tm Zr
6 12 1
direct
0.096 0.096 0.664
0.904 0.336 0.904
0.336 0.904 0.904
0.096 0.664 0.096
0.904 0.904 0.336
0.664 0.096 0.096
0.650 0.919 0.650
0.755 0.245 0.500
0.350 0.350 0.081
0.500 0.245 0.755
0.245 0.755 0.500
0.245 0.500 0.755
0.650 0.650 0.919
0.500 0.755 0.245
0.081 0.350 0.350
0.755 0.500 0.245
0.919 0.650 0.650
0.350 0.081 0.350
0.000 0.000 0.000
```

Output
E_form   0.25 eV per atom
Relative energy among the computed polymorphs   74 meV/atom
DOS(E_F)   36.1 states/eV/f.u.
Crystal system   trigonal
Electronic total energy   -4.48 eV/atom

Entry 5:
VASP calculation (GGA-PBE) on a relaxed TbTm2Zr crystal.

The structure in POSCAR format:
```
TbTm2Zr
1.0
3.442 0.000 0.000
1.721 2.981 0.000
1.721 0.994 11.079
Zr Tb Tm
1 1 2
direct
0.666 0.666 0.001
0.500 0.500 0.499
0.255 0.255 0.236
0.078 0.078 0.765
```

Output
E_form   0.06 eV per atom
Relative energy among the computed polymorphs   6 meV/atom
DOS(E_F)   6.6 states/eV/f.u.
Crystal system   trigonal
Electronic total energy   -5.47 eV/atom

Entry 6:
VASP calculation (GGA-PBE) on a relaxed Tb5Tm12Zr2 crystal.

The structure in POSCAR format:
```
Tb5Tm12Zr2
1.0
-4.255 -4.283 4.150
3.631 -4.751 -7.648
7.553 -4.773 2.818
Tm Zr Tb
12 2 5
direct
0.595 0.685 0.503
0.982 0.963 0.191
0.401 0.311 0.126
0.018 0.037 0.809
0.496 0.991 0.685
0.910 0.311 0.126
0.910 0.315 0.497
0.090 0.689 0.874
0.599 0.689 0.874
0.504 0.009 0.315
0.090 0.685 0.503
0.405 0.315 0.497
0.324 0.000 0.000
0.676 0.000 0.000
0.798 0.596 0.212
0.202 0.404 0.788
0.689 0.377 0.790
0.000 0.000 0.500
0.311 0.623 0.210
```

Output
E_form   0.17 eV per atom
DOS(E_F)   25.7 states/eV/f.u.
Crystal system   monoclinic
Electronic total energy   -4.77 eV/atom

Entry 7:
VASP calculation (GGA-PBE) on a relaxed Tb2TmZr crystal.

The structure in POSCAR format:
```
Tb2TmZr
1.0
3.351 0.000 0.000
1.676 2.902 0.000
1.676 0.967 11.919
Tm Tb Zr
1 2 1
direct
0.500 0.500 0.500
0.087 0.087 0.739
0.913 0.913 0.261
0.000 0.000 0.000
```

Output
E_form   0.29 eV per atom
Relative energy among the computed polymorphs   205 meV/atom
DOS(E_F)   5.3 states/eV/f.u.
Crystal system   trigonal
Electronic total energy   -5.28 eV/atom

Entry 8:
VASP calculation (GGA-PBE) on a relaxed Tb2Tm7Zr2 crystal.

The structure in POSCAR format:
```
Tb2Tm7Zr2
1.0
-7.734 2.451 -1.697
-0.520 -2.099 -5.999
-3.262 -4.897 2.458
Tm Tb Zr
7 2 2
direct
0.820 0.523 0.886
0.000 0.000 0.000
0.180 0.477 0.114
0.420 0.840 0.840
0.580 0.160 0.160
0.820 0.886 0.523
0.180 0.114 0.477
0.500 0.320 0.680
0.500 0.680 0.320
0.164 0.633 0.633
0.836 0.367 0.367
```

Output
E_form   0.10 eV per atom
DOS(E_F)   16.1 states/eV/f.u.
Crystal system   monoclinic
Electronic total energy   -5.14 eV/atom

Entry 9:
VASP calculation (GGA-PBE) on a relaxed Tb2Tm2Zr crystal.

The structure in POSCAR format:
```
Tb2Tm2Zr
1.0
-1.335 -2.872 -1.352
-0.038 -2.911 1.838
-13.141 1.520 5.362
Tb Zr Tm
2 1 2
direct
0.799 0.799 0.602
0.201 0.201 0.398
0.000 0.000 0.000
0.395 0.395 0.815
0.605 0.605 0.185
```

Output
E_form   0.06 eV per atom
DOS(E_F)   7.2 states/eV/f.u.
Crystal system   trigonal
Electronic total energy   -5.29 eV/atom

Entry 10:
VASP calculation (GGA-PBE) on a relaxed Tb2TmZr crystal.

The structure in POSCAR format:
```
Tb2TmZr
1.0
5.486 0.000 0.000
2.743 4.751 0.000
2.743 1.584 4.479
Tb Zr Tm
2 1 1
direct
0.250 0.250 0.250
0.750 0.750 0.750
0.500 0.500 0.500
0.000 0.000 0.000
```

Output
E_form   0.21 eV per atom
Relative energy among the computed polymorphs   126 meV/atom
DOS(E_F)   6.2 states/eV/f.u.
Crystal system   cubic
Electronic total energy   -5.36 eV/atom

Entry 11:
VASP calculation (GGA-PBE) on a relaxed Tb12Tm7Zr crystal.

The structure in POSCAR format:
```
Tb12Tm7Zr
1.0
8.443 0.994 1.491
-1.393 8.386 1.491
-1.393 -1.854 8.313
Tm Tb Zr
7 12 1
direct
0.669 0.069 0.976
0.976 0.669 0.069
0.331 0.931 0.024
0.931 0.024 0.331
0.069 0.976 0.669
0.024 0.331 0.931
0.500 0.500 0.500
0.223 0.764 0.367
0.357 0.443 0.121
0.633 0.777 0.236
0.121 0.357 0.443
0.367 0.223 0.764
0.643 0.557 0.879
0.764 0.367 0.223
0.777 0.236 0.633
0.443 0.121 0.357
0.236 0.633 0.777
0.879 0.643 0.557
0.557 0.879 0.643
0.000 0.000 0.000
```

Output
E_form   0.26 eV per atom
Relative energy among the computed polymorphs   10 meV/atom
DOS(E_F)   38.2 states/eV/f.u.
Crystal system   trigonal
Electronic total energy   -4.51 eV/atom

Entry 12:
VASP calculation (GGA-PBE) on a relaxed Tb4Tm3Zr crystal.

The structure in POSCAR format:
```
Tb4Tm3Zr
1.0
6.138 0.000 0.000
0.000 7.132 0.000
0.000 0.000 11.063
Tb Tm Zr
8 6 2
direct
0.988 0.131 0.756
0.647 0.130 0.500
0.988 0.131 0.244
0.147 0.870 0.000
0.642 0.133 0.000
0.488 0.869 0.256
0.142 0.867 0.500
0.488 0.869 0.744
0.148 0.385 0.500
0.976 0.619 0.752
0.476 0.381 0.252
0.976 0.619 0.248
0.648 0.615 0.000
0.476 0.381 0.748
0.650 0.620 0.500
0.150 0.380 0.000
```

Output
E_form   0.04 eV per atom
Relative energy among the computed polymorphs   0 meV/atom
DOS(E_F)   14.5 states/eV/f.u.
Crystal system   orthorhombic
Electronic total energy   -5.02 eV/atom

Entry 13:
VASP calculation (GGA-PBE) on a relaxed Tb4TmZr crystal.

The structure in POSCAR format:
```
Tb4TmZr
1.0
7.250 -0.712 -2.703
-0.770 6.869 0.583
-3.386 0.655 8.529
Tb Zr Tm
8 2 2
direct
0.500 0.920 0.821
0.501 0.580 0.179
0.019 0.420 0.339
0.980 0.079 0.661
0.499 0.420 0.821
0.500 0.080 0.179
0.981 0.580 0.661
0.020 0.921 0.339
0.500 0.750 0.500
0.500 0.250 0.500
0.000 0.250 0.000
0.000 0.750 0.000
```

Output
E_form   0.05 eV per atom
DOS(E_F)   6.7 states/eV/f.u.
Crystal system   monoclinic
Electronic total energy   -5.20 eV/atom

Entry 14:
VASP calculation (GGA-PBE) on a relaxed Tb7Tm12Zr crystal.

The structure in POSCAR format:
```
Tb7Tm12Zr
1.0
8.364 1.081 1.622
-1.287 8.334 1.622
-1.287 -1.713 8.316
Tm Tb Zr
12 7 1
direct
0.121 0.343 0.454
0.879 0.657 0.546
0.241 0.783 0.372
0.628 0.759 0.217
0.217 0.628 0.759
0.546 0.879 0.657
0.372 0.241 0.783
0.657 0.546 0.879
0.343 0.454 0.121
0.759 0.217 0.628
0.454 0.121 0.343
0.783 0.372 0.241
0.341 0.896 0.002
0.002 0.341 0.896
0.896 0.002 0.341
0.104 0.998 0.659
0.998 0.659 0.104
0.659 0.104 0.998
0.500 0.500 0.500
0.000 0.000 0.000
```

Output
E_form   0.27 eV per atom
Relative energy among the computed polymorphs   0 meV/atom
DOS(E_F)   40.6 states/eV/f.u.
Crystal system   trigonal
Electronic total energy   -4.46 eV/atom

Entry 15:
VASP calculation (GGA-PBE) on a relaxed TbTm2Zr crystal.

The structure in POSCAR format:
```
TbTm2Zr
1.0
-2.574 -2.162 -0.521
0.540 0.167 -3.355
5.127 -7.874 7.336
Tb Tm Zr
1 2 1
direct
0.500 0.500 0.750
0.000 0.462 0.481
0.000 0.538 0.019
0.500 0.500 0.250
```

Output
E_form   0.06 eV per atom
Relative energy among the computed polymorphs   0 meV/atom
DOS(E_F)   5.4 states/eV/f.u.
Crystal system   tetragonal
Electronic total energy   -5.47 eV/atom

Entry 16:
VASP calculation (GGA-PBE) on a relaxed Tb6Tm8Zr crystal.

The structure in POSCAR format:
```
Tb6Tm8Zr
1.0
7.642 0.095 3.659
2.344 7.275 3.659
0.128 0.095 8.472
Tm Tb Zr
8 6 1
direct
0.890 0.277 0.251
0.749 0.110 0.723
0.110 0.723 0.749
0.277 0.251 0.890
0.576 0.576 0.576
0.723 0.749 0.110
0.424 0.424 0.424
0.251 0.890 0.277
0.545 0.216 0.115
0.455 0.784 0.885
0.216 0.115 0.545
0.115 0.545 0.216
0.784 0.885 0.455
0.885 0.455 0.784
0.000 0.000 0.000
```

Output
E_form   0.13 eV per atom
Relative energy among the computed polymorphs   0 meV/atom
DOS(E_F)   20.9 states/eV/f.u.
Crystal system   trigonal
Electronic total energy   -4.68 eV/atom

Entry 17:
VASP calculation (GGA-PBE) on a relaxed Tb6Tm12Zr crystal.

The structure in POSCAR format:
```
Tb6Tm12Zr
1.0
8.372 0.460 0.551
-0.815 8.345 0.551
-0.815 -0.949 8.309
Tb Zr Tm
6 1 12
direct
0.739 0.274 0.120
0.274 0.120 0.739
0.726 0.880 0.261
0.880 0.261 0.726
0.120 0.739 0.274
0.261 0.726 0.880
0.000 0.000 0.000
0.366 0.051 0.145
0.790 0.529 0.465
0.949 0.855 0.634
0.634 0.949 0.855
0.535 0.210 0.471
0.210 0.471 0.535
0.471 0.535 0.210
0.465 0.790 0.529
0.145 0.366 0.051
0.529 0.465 0.790
0.855 0.634 0.949
0.051 0.145 0.366
```

Output
E_form   0.18 eV per atom
Relative energy among the computed polymorphs   0 meV/atom
DOS(E_F)   38.5 states/eV/f.u.
Crystal system   trigonal
Electronic total energy   -4.56 eV/atom

Entry 18:
VASP calculation (GGA-PBE) on a relaxed TbTm2Zr crystal.

The structure in POSCAR format:
```
TbTm2Zr
1.0
5.452 0.000 0.000
2.726 4.721 0.000
2.726 1.574 4.451
Zr Tb Tm
1 1 2
direct
0.500 0.500 0.500
0.000 0.000 0.000
0.250 0.250 0.250
0.750 0.750 0.750
```

Output
E_form   0.20 eV per atom
Relative energy among the computed polymorphs   148 meV/atom
DOS(E_F)   7.2 states/eV/f.u.
Crystal system   cubic
Electronic total energy   -5.33 eV/atom